[1]
Ac12Ag3N5 | PBE | relaxed

Raw formation energy in eV/atom: -0.5569
Symmetry: Ia-3d (230)
Uncorrected energy in eV per cell: -442.483

```
data_Ac12Ag3N5
_symmetry_space_group_name_H-M 'P 1'
_symmetry_Int_Tables_number 1
_cell_length_a 14.816
_cell_length_b 14.816
_cell_length_c 14.816
_cell_angle_alpha 109.47
_cell_angle_beta 109.47
_cell_angle_gamma 109.47
loop_
_symmetry_equiv_pos_as_xyz
'x,y,z'
loop_
_atom_site_label
_atom_site_type_symbol
_atom_site_fract_x
_atom_site_fract_y
_atom_site_fract_z
Ag1 Ag 0.750 0.375 0.125
Ag2 Ag 0.875 0.750 0.125
Ag3 Ag 0.375 0.750 0.625
Ag4 Ag 0.250 0.125 0.375
Ag5 Ag 0.875 0.125 0.250
Ag6 Ag 0.375 0.625 0.250
Ag7 Ag 0.625 0.375 0.750
Ag8 Ag 0.125 0.875 0.750
Ag9 Ag 0.750 0.875 0.625
Ag10 Ag 0.625 0.250 0.375
Ag11 Ag 0.125 0.250 0.875
Ag12 Ag 0.250 0.625 0.875
N1 N 0.125 0.375 0.250
N2 N 0.000 0.500 0.000
N3 N 0.000 0.000 0.000
N4 N 0.375 0.250 0.125
N5 N 0.500 0.000 0.500
N6 N 0.500 0.500 0.000
N7 N 0.125 0.750 0.375
N8 N 0.750 0.125 0.875
N9 N 0.750 0.625 0.375
N10 N 0.375 0.125 0.750
N11 N 0.625 0.875 0.250
N12 N 0.500 0.500 0.500
N13 N 0.500 0.000 0.000
N14 N 0.000 0.000 0.500
N15 N 0.250 0.375 0.625
N16 N 0.250 0.875 0.125
N17 N 0.000 0.500 0.500
N18 N 0.875 0.250 0.625
N19 N 0.625 0.750 0.875
N20 N 0.875 0.625 0.750
Ac1 Ac 0.699 0.112 0.014
Ac2 Ac 0.315 0.514 0.402
Ac3 Ac 0.986 0.388 0.301
Ac4 Ac 0.514 0.199 0.112
Ac5 Ac 0.587 0.699 0.685
Ac6 Ac 0.986 0.598 0.185
Ac7 Ac 0.315 0.801 0.413
Ac8 Ac 0.098 0.913 0.112
Ac9 Ac 0.598 0.986 0.685
Ac10 Ac 0.699 0.587 0.185
Ac11 Ac 0.801 0.486 0.388
Ac12 Ac 0.815 0.902 0.014
Ac13 Ac 0.112 0.699 0.514
Ac14 Ac 0.388 0.402 0.087
Ac15 Ac 0.087 0.902 0.388
Ac16 Ac 0.413 0.112 0.598
Ac17 Ac 0.087 0.185 0.199
Ac18 Ac 0.486 0.685 0.098
Ac19 Ac 0.815 0.913 0.301
Ac20 Ac 0.112 0.413 0.098
Ac21 Ac 0.388 0.986 0.801
Ac22 Ac 0.598 0.612 0.413
Ac23 Ac 0.902 0.815 0.514
Ac24 Ac 0.801 0.315 0.913
Ac25 Ac 0.402 0.388 0.587
Ac26 Ac 0.098 0.185 0.486
Ac27 Ac 0.199 0.685 0.087
Ac28 Ac 0.185 0.087 0.699
Ac29 Ac 0.612 0.014 0.199
Ac30 Ac 0.888 0.587 0.902
Ac31 Ac 0.514 0.315 0.902
Ac32 Ac 0.587 0.888 0.402
Ac33 Ac 0.913 0.815 0.801
Ac34 Ac 0.913 0.098 0.612
Ac35 Ac 0.888 0.301 0.486
Ac36 Ac 0.185 0.098 0.986
Ac37 Ac 0.612 0.598 0.913
Ac38 Ac 0.402 0.014 0.315
Ac39 Ac 0.301 0.413 0.815
Ac40 Ac 0.199 0.514 0.612
Ac41 Ac 0.902 0.087 0.888
Ac42 Ac 0.685 0.199 0.587
Ac43 Ac 0.486 0.801 0.888
Ac44 Ac 0.014 0.402 0.815
Ac45 Ac 0.413 0.301 0.315
Ac46 Ac 0.014 0.612 0.699
Ac47 Ac 0.685 0.486 0.598
Ac48 Ac 0.301 0.888 0.986
```

[2]
Ac3AgN3 | PBE | relaxed

Raw formation energy in eV/atom: -0.8543
Symmetry: P4/mmm (123)
Uncorrected energy in eV per cell: -46.133

```
data_Ac3AgN3
_symmetry_space_group_name_H-M 'P 1'
_symmetry_Int_Tables_number 1
_cell_length_a 3.932
_cell_length_b 3.932
_cell_length_c 9.450
_cell_angle_alpha 90.00
_cell_angle_beta 90.00
_cell_angle_gamma 90.00
loop_
_symmetry_equiv_pos_as_xyz
'x,y,z'
loop_
_atom_site_label
_atom_site_type_symbol
_atom_site_fract_x
_atom_site_fract_y
_atom_site_fract_z
Ac1 Ac 0.000 0.000 0.000
Ac2 Ac 0.500 0.500 0.719
Ac3 Ac 0.500 0.500 0.281
Ag1 Ag 0.000 0.000 0.500
N1 N 0.000 0.000 0.728
N2 N 0.000 0.000 0.272
N3 N 0.500 0.500 0.000
```

[3]
Ac6Ag3N2 | PBE | relaxed

Raw formation energy in eV/atom: -0.4846
Symmetry: I4/mmm (139)
Uncorrected energy in eV per cell: -55.185

```
data_Ac6Ag3N2
_symmetry_space_group_name_H-M 'P 1'
_symmetry_Int_Tables_number 1
_cell_length_a 5.158
_cell_length_b 5.158
_cell_length_c 13.504
_cell_angle_alpha 101.01
_cell_angle_beta 101.01
_cell_angle_gamma 90.00
loop_
_symmetry_equiv_pos_as_xyz
'x,y,z'
loop_
_atom_site_label
_atom_site_type_symbol
_atom_site_fract_x
_atom_site_fract_y
_atom_site_fract_z
Ac1 Ac 0.086 0.586 0.171
Ac2 Ac 0.586 0.086 0.171
Ac3 Ac 0.914 0.414 0.829
Ac4 Ac 0.414 0.914 0.829
Ac5 Ac 0.701 0.701 0.403
Ac6 Ac 0.299 0.299 0.597
Ag1 Ag 0.000 0.000 0.000
Ag2 Ag 0.828 0.828 0.657
Ag3 Ag 0.172 0.172 0.343
N1 N 0.391 0.391 0.781
N2 N 0.609 0.609 0.219
```

[4]
Ac5Ag2OsN | PBE | relaxed

Raw formation energy in eV/atom: -0.3724
Symmetry: Cmc2_1 (36)
Uncorrected energy in eV per cell: -98.302

```
data_Ac5Ag2OsN
_symmetry_space_group_name_H-M 'P 1'
_symmetry_Int_Tables_number 1
_cell_length_a 4.375
_cell_length_b 9.785
_cell_length_c 14.098
_cell_angle_alpha 90.00
_cell_angle_beta 90.00
_cell_angle_gamma 102.92
loop_
_symmetry_equiv_pos_as_xyz
'x,y,z'
loop_
_atom_site_label
_atom_site_type_symbol
_atom_site_fract_x
_atom_site_fract_y
_atom_site_fract_z
Ac1 Ac 0.352 0.704 0.012
Ac2 Ac 0.686 0.373 0.888
Ac3 Ac 0.498 0.995 0.776
Ac4 Ac 0.288 0.575 0.671
Ac5 Ac 0.955 0.910 0.509
Ac6 Ac 0.648 0.296 0.512
Ac7 Ac 0.314 0.627 0.388
Ac8 Ac 0.502 0.005 0.276
Ac9 Ac 0.712 0.425 0.171
Ac10 Ac 0.045 0.090 0.009
Ag1 Ag 0.871 0.742 0.828
Ag2 Ag 0.110 0.220 0.684
Ag3 Ag 0.129 0.258 0.328
Ag4 Ag 0.890 0.780 0.184
Os1 Os 0.797 0.594 0.533
Os2 Os 0.203 0.406 0.033
N1 N 0.554 0.108 0.922
N2 N 0.446 0.892 0.422
```

[5]
Ac2AgP2N6 | PBE | relaxed

Raw formation energy in eV/atom: -0.2771
Symmetry: P-3 (147)
Uncorrected energy in eV per cell: -74.888

```
data_Ac2AgP2N6
_symmetry_space_group_name_H-M 'P 1'
_symmetry_Int_Tables_number 1
_cell_length_a 6.006
_cell_length_b 6.006
_cell_length_c 6.226
_cell_angle_alpha 90.00
_cell_angle_beta 90.00
_cell_angle_gamma 120.00
loop_
_symmetry_equiv_pos_as_xyz
'x,y,z'
loop_
_atom_site_label
_atom_site_type_symbol
_atom_site_fract_x
_atom_site_fract_y
_atom_site_fract_z
Ac1 Ac 0.667 0.333 0.732
Ac2 Ac 0.333 0.667 0.268
Ag1 Ag 0.000 0.000 0.000
P1 P 0.333 0.667 0.771
P2 P 0.667 0.333 0.229
N1 N 0.100 0.380 0.771
N2 N 0.620 0.720 0.771
N3 N 0.280 0.900 0.771
N4 N 0.900 0.620 0.229
N5 N 0.380 0.280 0.229
N6 N 0.720 0.100 0.229
```

[6]
AcPm2AgN | PBE | relaxed

Raw formation energy in eV/atom: -0.5569
Symmetry: P4/mmm (123)
Uncorrected energy in eV per cell: -27.571

```
data_AcPm2AgN
_symmetry_space_group_name_H-M 'P 1'
_symmetry_Int_Tables_number 1
_cell_length_a 4.955
_cell_length_b 4.955
_cell_length_c 5.378
_cell_angle_alpha 90.00
_cell_angle_beta 90.00
_cell_angle_gamma 90.00
loop_
_symmetry_equiv_pos_as_xyz
'x,y,z'
loop_
_atom_site_label
_atom_site_type_symbol
_atom_site_fract_x
_atom_site_fract_y
_atom_site_fract_z
Ac1 Ac 0.000 0.000 0.500
Pm1 Pm 0.000 0.500 0.000
Pm2 Pm 0.500 0.000 0.000
Ag1 Ag 0.500 0.500 0.500
N1 N 0.000 0.000 0.000
```

[7]
AcPr2AgN | PBE | relaxed

Raw formation energy in eV/atom: -0.5150
Symmetry: P4/mmm (123)
Uncorrected energy in eV per cell: -27.419

```
data_AcPr2AgN
_symmetry_space_group_name_H-M 'P 1'
_symmetry_Int_Tables_number 1
_cell_length_a 5.052
_cell_length_b 5.051
_cell_length_c 5.357
_cell_angle_alpha 90.00
_cell_angle_beta 90.00
_cell_angle_gamma 90.00
loop_
_symmetry_equiv_pos_as_xyz
'x,y,z'
loop_
_atom_site_label
_atom_site_type_symbol
_atom_site_fract_x
_atom_site_fract_y
_atom_site_fract_z
Ac1 Ac 0.000 0.000 0.500
Pr1 Pr 0.000 0.500 0.000
Pr2 Pr 0.500 0.000 0.000
Ag1 Ag 0.500 0.500 0.500
N1 N 0.000 0.000 0.000
```

[8]
Ac6Ag2RuN | PBE | relaxed

Raw formation energy in eV/atom: -0.3449
Symmetry: P2_1/c (14)
Uncorrected energy in eV per cell: -102.807

```
data_Ac6Ag2RuN
_symmetry_space_group_name_H-M 'P 1'
_symmetry_Int_Tables_number 1
_cell_length_a 7.292
_cell_length_b 8.013
_cell_length_c 10.960
_cell_angle_alpha 90.00
_cell_angle_beta 89.74
_cell_angle_gamma 90.00
loop_
_symmetry_equiv_pos_as_xyz
'x,y,z'
loop_
_atom_site_label
_atom_site_type_symbol
_atom_site_fract_x
_atom_site_fract_y
_atom_site_fract_z
Ac1 Ac 0.308 0.682 0.055
Ac2 Ac 0.808 0.818 0.555
Ac3 Ac 0.692 0.318 0.945
Ac4 Ac 0.192 0.182 0.445
Ac5 Ac 0.331 0.700 0.447
Ac6 Ac 0.831 0.800 0.947
Ac7 Ac 0.669 0.300 0.553
Ac8 Ac 0.169 0.200 0.053
Ac9 Ac 0.885 0.523 0.242
Ac10 Ac 0.385 0.977 0.742
Ac11 Ac 0.115 0.477 0.758
Ac12 Ac 0.615 0.023 0.258
Ag1 Ag 0.050 0.903 0.245
Ag2 Ag 0.550 0.597 0.745
Ag3 Ag 0.950 0.097 0.755
Ag4 Ag 0.450 0.403 0.255
Ru1 Ru 0.500 0.000 0.000
Ru2 Ru 0.000 0.500 0.500
N1 N 0.500 0.000 0.500
N2 N 0.000 0.500 0.000
```

[9]
Ac2AgRuN | PBE | relaxed

Raw formation energy in eV/atom: -0.5314
Symmetry: P4/mmm (123)
Uncorrected energy in eV per cell: -31.326

```
data_Ac2AgRuN
_symmetry_space_group_name_H-M 'P 1'
_symmetry_Int_Tables_number 1
_cell_length_a 3.889
_cell_length_b 5.539
_cell_length_c 5.539
_cell_angle_alpha 90.00
_cell_angle_beta 90.00
_cell_angle_gamma 90.00
loop_
_symmetry_equiv_pos_as_xyz
'x,y,z'
loop_
_atom_site_label
_atom_site_type_symbol
_atom_site_fract_x
_atom_site_fract_y
_atom_site_fract_z
Ac1 Ac 0.000 0.000 0.500
Ac2 Ac 0.000 0.500 0.000
Ag1 Ag 0.500 0.500 0.500
Ru1 Ru 0.500 0.000 0.000
N1 N 0.000 0.000 0.000
```

[10]
Ac2Tc2AgN6 | PBE | relaxed

Raw formation energy in eV/atom: -0.2010
Symmetry: P-1 (2)
Uncorrected energy in eV per cell: -83.964

```
data_Ac2Tc2AgN6
_symmetry_space_group_name_H-M 'P 1'
_symmetry_Int_Tables_number 1
_cell_length_a 7.602
_cell_length_b 6.583
_cell_length_c 7.478
_cell_angle_alpha 120.01
_cell_angle_beta 90.00
_cell_angle_gamma 54.85
loop_
_symmetry_equiv_pos_as_xyz
'x,y,z'
loop_
_atom_site_label
_atom_site_type_symbol
_atom_site_fract_x
_atom_site_fract_y
_atom_site_fract_z
Ac1 Ac 0.803 0.393 0.815
Ac2 Ac 0.197 0.607 0.185
Tc1 Tc 0.171 0.660 0.757
Tc2 Tc 0.829 0.340 0.243
Ag1 Ag 0.500 0.000 0.500
N1 N 0.378 0.624 0.877
N2 N 0.999 0.380 0.125
N3 N 0.094 0.812 0.597
N4 N 0.001 0.620 0.875
N5 N 0.906 0.188 0.403
N6 N 0.622 0.376 0.123
```

[11]
NaAc2Ag6 | PBE | relaxed

Energy of formation from the pure elements in eV/atom: -0.1690
Symmetry: P6/mmm (191)
Uncorrected energy in eV per cell: -28.165

```
data_NaAc2Ag6
_symmetry_space_group_name_H-M 'P 1'
_symmetry_Int_Tables_number 1
_cell_length_a 3.880
_cell_length_b 8.421
_cell_length_c 8.421
_cell_angle_alpha 120.00
_cell_angle_beta 90.00
_cell_angle_gamma 90.00
loop_
_symmetry_equiv_pos_as_xyz
'x,y,z'
loop_
_atom_site_label
_atom_site_type_symbol
_atom_site_fract_x
_atom_site_fract_y
_atom_site_fract_z
Na1 Na 0.000 0.000 0.000
Ac1 Ac 0.000 0.333 0.667
Ac2 Ac 0.000 0.667 0.333
Ag1 Ag 0.500 0.331 0.331
Ag2 Ag 0.500 0.669 0.669
Ag3 Ag 0.500 0.000 0.669
Ag4 Ag 0.500 0.669 0.000
Ag5 Ag 0.500 0.331 0.000
Ag6 Ag 0.500 0.000 0.331
```

[12]
NaAcAg | PBE | relaxed

Energy of formation from the pure elements in eV/atom: -0.0874
Symmetry: P-1 (2)
Uncorrected energy in eV per cell: -17.082

```
data_NaAcAg
_symmetry_space_group_name_H-M 'P 1'
_symmetry_Int_Tables_number 1
_cell_length_a 4.302
_cell_length_b 8.969
_cell_length_c 8.150
_cell_angle_alpha 137.38
_cell_angle_beta 105.25
_cell_angle_gamma 89.95
loop_
_symmetry_equiv_pos_as_xyz
'x,y,z'
loop_
_atom_site_label
_atom_site_type_symbol
_atom_site_fract_x
_atom_site_fract_y
_atom_site_fract_z
Na1 Na 0.728 0.541 0.574
Na2 Na 0.083 0.117 0.284
Ac1 Ac 0.485 0.642 0.090
Ac2 Ac 0.325 0.016 0.768
Ag1 Ag 0.768 0.213 0.653
Ag2 Ag 0.043 0.446 0.205
```

Q: Which of these has the highest uncorrected energy?
A: NaAcAg

What did the eleventh record say?
NaAc2Ag6 | PBE | relaxed

Energy of formation from the pure elements in eV/atom: -0.1690
Symmetry: P6/mmm (191)
Uncorrected energy in eV per cell: -28.165

```
data_NaAc2Ag6
_symmetry_space_group_name_H-M 'P 1'
_symmetry_Int_Tables_number 1
_cell_length_a 3.880
_cell_length_b 8.421
_cell_length_c 8.421
_cell_angle_alpha 120.00
_cell_angle_beta 90.00
_cell_angle_gamma 90.00
loop_
_symmetry_equiv_pos_as_xyz
'x,y,z'
loop_
_atom_site_label
_atom_site_type_symbol
_atom_site_fract_x
_atom_site_fract_y
_atom_site_fract_z
Na1 Na 0.000 0.000 0.000
Ac1 Ac 0.000 0.333 0.667
Ac2 Ac 0.000 0.667 0.333
Ag1 Ag 0.500 0.331 0.331
Ag2 Ag 0.500 0.669 0.669
Ag3 Ag 0.500 0.000 0.669
Ag4 Ag 0.500 0.669 0.000
Ag5 Ag 0.500 0.331 0.000
Ag6 Ag 0.500 0.000 0.331
```